Material: Sr3Sn8Pd3
Method: DFT, GGA-PBE
State: relaxed

abc: 5.0849 9.0229 8.9808
angles: 68.53 73.55 73.63
Element x y z (fractional)
Sn  0.5007  0.6684  0.3301
Sn  0.4993  0.3316  0.6699
Sn  0.3485  0.0418  0.2612
Sn  0.1399  0.1511  0.5691
Sn  0.8514  0.4324  0.8647
Sn  0.6515  0.9582  0.7388
Sn  0.8601  0.8489  0.4309
Sn  0.1486  0.5676  0.1353
Sr  0.0000  0.0000  0.0000
Sr  0.2895  0.7022  0.7187
Sr  0.7105  0.2978  0.2813
Pd  0.6524  0.6889  0.0062
Pd  0.3476  0.3111  0.9938
Pd  0.0000  0.5000  0.5000

Computed properties:
For the calculated density, the calculation gives 7.06 g cm⁻³. As for the formation enthalpy at 0 K: -0.52 eV per atom. The energy above the most stable polymorph in this dataset comes out at 0.000 eV/atom.